[1]
Computed, not measured: a relaxed GdZrU crystal at the PBE-GGA level of DFT.

Calculated values
Space-group type ... F-43m
Formation enthalpy at 0 K ... 1.27 eV per atom

Structure (POSCAR):
```
GdZrU
1.0
0.0000 3.5516 3.5516
3.5516 0.0000 3.5516
3.5516 3.5516 0.0000
Gd Zr U
1 1 1
direct
0.0000 0.0000 0.0000
0.5000 0.5000 0.5000
0.2500 0.2500 0.2500
```

---

[2]
Computed, not measured: a relaxed Gd2W crystal at the PBE-GGA level of DFT.

Calculated values
ΔE to the lowest computed polymorph ... 808.7 meV per atom
Space-group type ... Fd-3m
Formation enthalpy at 0 K ... 2.17 eV per atom

Structure (POSCAR):
```
Gd2W
1.0
0.0000 5.9064 5.9064
5.9064 0.0000 5.9064
5.9064 5.9064 0.0000
Gd W
4 2
direct
0.0000 0.0000 0.0000
0.0000 0.0000 0.5000
0.0000 0.5000 0.0000
0.5000 0.0000 0.0000
0.1250 0.1250 0.1250
0.8750 0.8750 0.8750
```

---

[3]
Computed, not measured: a relaxed Gd2W crystal at the PBE-GGA level of DFT.

Calculated values
ΔE to the lowest computed polymorph ... 0.0 meV per atom
Space-group type ... Fd-3m
Formation enthalpy at 0 K ... 1.36 eV per atom

Structure (POSCAR):
```
Gd2W
1.0
0.0000 4.1721 4.1721
4.1721 0.0000 4.1721
4.1721 4.1721 0.0000
Gd W
4 2
direct
0.0000 0.0000 0.0000
0.0000 0.0000 0.5000
0.0000 0.5000 0.0000
0.5000 0.0000 0.0000
0.3750 0.3750 0.3750
0.6250 0.6250 0.6250
```

---

[4]
Computed, not measured: a relaxed GdZrW crystal at the PBE-GGA level of DFT.

Calculated values
ΔE to the lowest computed polymorph ... 0.0 meV per atom
Space-group type ... F-43m
Formation enthalpy at 0 K ... 1.13 eV per atom

Structure (POSCAR):
```
GdZrW
1.0
0.0000 3.3369 3.3369
3.3369 0.0000 3.3369
3.3369 3.3369 0.0000
Gd Zr W
1 1 1
direct
0.0000 0.0000 0.0000
0.2500 0.2500 0.2500
0.5000 0.5000 0.5000
```

---

[5]
Computed, not measured: a relaxed GdZrW crystal at the PBE-GGA level of DFT.

Calculated values
ΔE to the lowest computed polymorph ... 419.5 meV per atom
Space-group type ... F-43m
Formation enthalpy at 0 K ... 1.55 eV per atom

Structure (POSCAR):
```
GdZrW
1.0
0.0000 3.3274 3.3274
3.3274 0.0000 3.3274
3.3274 3.3274 0.0000
Gd Zr W
1 1 1
direct
0.0000 0.0000 0.0000
0.2500 0.2500 0.2500
0.7500 0.7500 0.7500
```

---

[6]
Computed, not measured: a relaxed Gd2Y crystal at the PBE-GGA level of DFT.

Calculated values
ΔE to the lowest computed polymorph ... 2315.9 meV per atom
Space-group type ... Fd-3m
Formation enthalpy at 0 K ... 2.55 eV per atom

Structure (POSCAR):
```
Gd2Y
1.0
0.0000 6.2999 6.2999
6.2999 0.0000 6.2999
6.2999 6.2999 0.0000
Gd Y
4 2
direct
0.0000 0.0000 0.0000
0.0000 0.0000 0.5000
0.0000 0.5000 0.0000
0.5000 0.0000 0.0000
0.1250 0.1250 0.1250
0.8750 0.8750 0.8750
```

---

[7]
Computed, not measured: a relaxed Gd2Y crystal at the PBE-GGA level of DFT.

Calculated values
ΔE to the lowest computed polymorph ... 0.0 meV per atom
Space-group type ... Fd-3m
Formation enthalpy at 0 K ... 0.23 eV per atom

Structure (POSCAR):
```
Gd2Y
1.0
0.0000 4.6533 4.6533
4.6533 0.0000 4.6533
4.6533 4.6533 0.0000
Gd Y
4 2
direct
0.0000 0.0000 0.0000
0.0000 0.0000 0.5000
0.0000 0.5000 0.0000
0.5000 0.0000 0.0000
0.3750 0.3750 0.3750
0.6250 0.6250 0.6250
```

---

[8]
Computed, not measured: a relaxed GdY crystal at the PBE-GGA level of DFT.

Calculated values
ΔE to the lowest computed polymorph ... 0.0 meV per atom
Space-group type ... P-6m2
Formation enthalpy at 0 K ... 0.01 eV per atom

Structure (POSCAR):
```
GdY
1.0
3.6376 0.0000 0.0000
-1.8188 3.1503 0.0000
0.0000 0.0000 5.6929
Gd Y
1 1
direct
0.0000 0.0000 0.0000
0.6667 0.3333 0.5000
```